(1)
# LaYTe2

A relaxed structure of LaYTe2 (GGA-PBE, Alexandria).

* density of states at the Fermi level: 0.465 states/eV per atom
* magnetic moment: 0.00 μB/atom
* E_form (uncorrected): -1.011 eV/atom
* crystal system: trigonal

a b c (Å): 10.203 10.203 10.203
angles (deg): 24.37 24.37 24.37
Element x y z (fractional)
Te1 0.894 0.894 0.894
Te2 0.106 0.106 0.106
La1 0.000 0.000 0.000
Y1 0.500 0.500 0.500

(2)
# La5YTe6

A relaxed structure of La5YTe6 (GGA-PBE, Alexandria).

* density of states at the Fermi level: 0.639 states/eV per atom
* magnetic moment: 0.00 μB/atom
* E_form (uncorrected): -1.548 eV/atom
* crystal system: monoclinic

a b c (Å): 7.872 7.863 7.882
angles (deg): 60.08 80.36 70.37
Element x y z (fractional)
Te1 0.758 0.404 0.676
Te2 0.242 0.596 0.324
Te3 0.758 0.080 0.324
Te4 0.242 0.920 0.676
Te5 0.751 0.760 0.000
Te6 0.249 0.240 0.000
La1 0.500 0.500 0.000
La2 0.000 0.334 0.331
La3 0.500 0.828 0.344
La4 0.500 0.172 0.656
La5 0.000 0.666 0.669
Y1 0.000 0.000 0.000

(3)
# La2Y2Te

A relaxed structure of La2Y2Te (GGA-PBE, Alexandria).

* density of states at the Fermi level: 1.226 states/eV per atom
* magnetic moment: 0.00 μB/atom
* E_form (uncorrected): -0.334 eV/atom
* crystal system: tetragonal

a b c (Å): 7.983 7.983 5.477
angles (deg): 90.00 90.00 90.00
Element x y z (fractional)
La1 0.357 0.143 0.500
La2 0.643 0.857 0.500
La3 0.857 0.357 0.500
La4 0.143 0.643 0.500
Y1 0.350 0.850 0.000
Y2 0.150 0.350 0.000
Y3 0.650 0.150 0.000
Y4 0.850 0.650 0.000
Te1 0.500 0.500 0.000
Te2 0.000 0.000 0.000

(4)
# La2Y3Te8

A relaxed structure of La2Y3Te8 (GGA-PBE, Alexandria).

* density of states at the Fermi level: 0.574 states/eV per atom
* magnetic moment: 0.00 μB/atom
* E_form (uncorrected): -1.352 eV/atom
* crystal system: monoclinic

a b c (Å): 7.611 8.838 9.017
angles (deg): 119.35 106.08 90.00
Element x y z (fractional)
Y1 0.500 0.000 0.000
Y2 0.000 0.743 0.000
Y3 0.000 0.257 0.000
Te1 0.088 0.883 0.767
Te2 0.410 0.871 0.233
Te3 0.082 0.381 0.763
Te4 0.590 0.638 0.767
Te5 0.410 0.362 0.233
Te6 0.918 0.619 0.237
Te7 0.912 0.117 0.233
Te8 0.590 0.129 0.767
La1 0.668 0.747 0.494
La2 0.332 0.253 0.506

(5)
# LaYTe2

A relaxed structure of LaYTe2 (GGA-PBE, Alexandria).

* density of states at the Fermi level: 1.035 states/eV per atom
* magnetic moment: 0.00 μB/atom
* E_form (uncorrected): -0.965 eV/atom
* crystal system: tetragonal

a b c (Å): 7.072 7.072 8.596
angles (deg): 65.71 65.71 90.00
Element x y z (fractional)
Te1 0.605 0.125 0.250
Te2 0.875 0.855 0.750
Te3 0.375 0.395 0.750
Te4 0.145 0.625 0.250
Y1 0.500 0.500 0.000
Y2 0.250 0.750 0.500
La1 0.000 0.000 0.000
La2 0.750 0.250 0.500

(6)
# LaY6Te8

A relaxed structure of LaY6Te8 (GGA-PBE, Alexandria).

* density of states at the Fermi level: 0.506 states/eV per atom
* magnetic moment: 0.00 μB/atom
* E_form (uncorrected): -1.406 eV/atom
* crystal system: cubic

a b c (Å): 8.723 8.723 8.723
angles (deg): 60.00 60.00 60.00
Element x y z (fractional)
Y1 0.000 0.000 0.500
Y2 0.000 0.500 0.000
Y3 0.500 0.500 0.000
Y4 0.500 0.000 0.500
Y5 0.000 0.500 0.500
Y6 0.500 0.000 0.000
Te1 0.250 0.250 0.250
Te2 0.750 0.750 0.750
Te3 0.263 0.737 0.737
Te4 0.737 0.263 0.263
Te5 0.737 0.263 0.737
Te6 0.263 0.737 0.263
Te7 0.263 0.263 0.737
Te8 0.737 0.737 0.263
La1 0.000 0.000 0.000

(7)
# LaYTe2

A relaxed structure of LaYTe2 (GGA-PBE, Alexandria).

* density of states at the Fermi level: 1.278 states/eV per atom
* magnetic moment: 0.36 μB/atom
* E_form (uncorrected): -0.499 eV/atom
* crystal system: cubic

a b c (Å): 5.510 5.510 5.510
angles (deg): 60.00 60.00 60.00
Last column: magnetic moment on the atom in μB.
Element x y z (fractional)
Te1 0.000 0.000 0.000  -0.03
Te2 0.250 0.250 0.250  -0.04
Y1 0.750 0.750 0.750  0.48
La1 0.500 0.500 0.500  0.38

(8)
# LaY2Te

A relaxed structure of LaY2Te (GGA-PBE, Alexandria).

* density of states at the Fermi level: 1.218 states/eV per atom
* magnetic moment: 0.00 μB/atom
* E_form (uncorrected): -0.358 eV/atom
* crystal system: tetragonal

a b c (Å): 9.224 9.224 7.293
angles (deg): 50.77 50.77 90.00
Element x y z (fractional)
Y1 0.566 0.125 0.250
Y2 0.375 0.434 0.750
Y3 0.875 0.816 0.750
Y4 0.184 0.625 0.250
La1 0.750 0.250 0.500
La2 0.000 0.000 0.000
Te1 0.250 0.750 0.500
Te2 0.500 0.500 0.000

(9)
# LaY4Te

A relaxed structure of LaY4Te (GGA-PBE, Alexandria).

* density of states at the Fermi level: 1.240 states/eV per atom
* magnetic moment: 0.43 μB/atom
* E_form (uncorrected): 0.126 eV/atom
* crystal system: cubic

a b c (Å): 6.623 6.623 6.623
angles (deg): 60.00 60.00 60.00
Last column: magnetic moment on the atom in μB.
Element x y z (fractional)
Y1 0.871 0.376 0.376  0.20
Y2 0.376 0.376 0.871  0.20
Y3 0.376 0.376 0.376  0.20
Y4 0.376 0.871 0.376  0.20
Te1 0.000 0.000 0.000  0.01
La1 0.750 0.750 0.750  0.38

(10)
# LaY2Te

A relaxed structure of LaY2Te (GGA-PBE, Alexandria).

* density of states at the Fermi level: 1.294 states/eV per atom
* magnetic moment: 0.11 μB/atom
* E_form (uncorrected): -0.549 eV/atom
* crystal system: trigonal

a b c (Å): 3.933 3.933 10.282
angles (deg): 78.96 78.96 59.98
Last column: magnetic moment on the atom in μB.
Element x y z (fractional)
Y1 0.264 0.264 0.207  0.04
Y2 0.069 0.069 0.793  0.06
Te1 0.667 0.667 0.000  0.00
La1 0.500 0.500 0.500  0.09

(11)
# La3YTe

A relaxed structure of La3YTe (GGA-PBE, Alexandria).

* density of states at the Fermi level: 2.098 states/eV per atom
* magnetic moment: 0.00 μB/atom
* E_form (uncorrected): -0.179 eV/atom
* crystal system: cubic

a b c (Å): 6.003 6.003 6.003
angles (deg): 90.00 90.00 90.00
Element x y z (fractional)
La1 0.000 0.500 0.000
La2 0.000 0.000 0.500
La3 0.500 0.000 0.000
Y1 0.500 0.500 0.500
Te1 0.000 0.000 0.000

(12)
# LaY2Te

A relaxed structure of LaY2Te (GGA-PBE, Alexandria).

* density of states at the Fermi level: 1.112 states/eV per atom
* magnetic moment: 0.00 μB/atom
* E_form (uncorrected): -0.567 eV/atom
* crystal system: trigonal

a b c (Å): 10.344 10.344 10.344
angles (deg): 21.71 21.71 21.71
Element x y z (fractional)
Y1 0.014 0.014 0.014
Y2 0.486 0.486 0.486
Te1 0.750 0.750 0.750
La1 0.250 0.250 0.250

Copy entry 8 word for word.
# LaY2Te

A relaxed structure of LaY2Te (GGA-PBE, Alexandria).

* density of states at the Fermi level: 1.218 states/eV per atom
* magnetic moment: 0.00 μB/atom
* E_form (uncorrected): -0.358 eV/atom
* crystal system: tetragonal

a b c (Å): 9.224 9.224 7.293
angles (deg): 50.77 50.77 90.00
Element x y z (fractional)
Y1 0.566 0.125 0.250
Y2 0.375 0.434 0.750
Y3 0.875 0.816 0.750
Y4 0.184 0.625 0.250
La1 0.750 0.250 0.500
La2 0.000 0.000 0.000
Te1 0.250 0.750 0.500
Te2 0.500 0.500 0.000

Q: Which value of magnetic moment does entry 3 give?
A: 0.00 μB/atom

Q: Among the records above, which one has the highest E_form (uncorrected)?
A: LaY4Te